ErHgGe4 | PBE | optimized geometry

Computed properties:
- SG = No. 216
- formation energy from the elements (eV/atom) = -0.1257

The structure in extended XYZ format:
```
6
Lattice="-1.852 -5.114 -1.378 3.661 -4.096 -1.142 0.636 -4.273 3.580" Properties=species:S:1:pos:R:3 pbc="T T T"
Ge 1.210 -6.288 -1.137
Ge -0.311 -6.377 1.238
Ge 1.530 -8.436 0.663
Ge 2.461 -5.865 1.356
Hg 0.611 -3.371 0.265
Er 0.000 0.000 0.000
```